Entry 1:
Material: Pu3ZnGe3
Method: DFT, PBE-GGA
State: relaxed

Output
DFT formation energy   0.1724 eV per atom
Energy relative to the lowest polymorph listed for this composition   553 meV/atom

a = 9.2102 Å, b = 9.2102 Å, c = 3.7506 Å
α = 90.00°, β = 90.00°, γ = 120.00°
Last column: nearest neighbours and their distance in Å.
Space group P6_3/m (No. 176)
Unique sites:
Pu (0.0589, 0.5839, 0.2500) (multiplicity 6)  2 Pu 2.32
Zn (0.3333, 0.6667, 0.7500) (multiplicity 2)  9 Pu 2.93-3.17
Ge (0.0576, 0.2484, 0.2500) (multiplicity 6)  4 Ge 2.80, 4 Pu 2.89-3.08

***

Entry 2:
Material: Sc2ReH
Method: DFT, PBE-GGA
State: relaxed

Output
Energy relative to the lowest polymorph listed for this composition   174 meV/atom

a = 2.9213 Å, b = 2.9213 Å, c = 24.0609 Å
α = 90.00°, β = 90.00°, γ = 120.00°
Last column: nearest neighbours and their distance in Å.
Space group R-3m (No. 166, hexagonal axes)
Unique sites:
Sc (0.0000, 0.0000, 0.1100) (multiplicity 6)  3 H 2.17
Re (0.0000, 0.0000, 0.0000) (multiplicity 3)  2 Sc 2.65, 6 Re 2.92
H (0.0000, 0.0000, 0.5000) (multiplicity 3)  6 Sc 2.17

***

Entry 3:
Material: CaSiTc
Method: DFT, PBE-GGA
State: relaxed

Output
Energy relative to the lowest polymorph listed for this composition   153 meV/atom
Uncorrected formation energy   -0.24 eV per atom

a = 8.6074 Å, b = 3.2706 Å, c = 9.7315 Å
α = 90.00°, β = 99.60°, γ = 90.00°
Last column: nearest neighbours and their distance in Å.
Space group C2/m (No. 12)
Unique sites:
Ca (0.1662, 0.0000, 0.1752) (multiplicity 4)  2 Tc 3.06, 3 Si 3.07-3.21, 2 Ca 3.27
Si (0.0941, 0.0000, 0.6241) (multiplicity 4)  5 Tc 2.52-2.53, 1 Si 2.67
Tc (0.1309, 0.5000, 0.4341) (multiplicity 4)  5 Si 2.52-2.53, 3 Tc 2.77

***

Entry 4:
Material: La2Y6Er
Method: DFT, PBE-GGA
State: relaxed

Output
DFT formation energy   0.1111 eV per atom
Energy relative to the lowest polymorph listed for this composition   42 meV/atom

a = 12.9351 Å, b = 14.4434 Å, c = 6.6118 Å
α = 90.00°, β = 103.13°, γ = 90.00°
Last column: nearest neighbours and their distance in Å.
Space group C2/c (No. 15)
Unique sites:
La (0.1408, 0.0269, 0.3776) (multiplicity 8)  3 La 3.40-3.65, 7 Y 3.46-3.73
Y (0.0356, 0.1913, 0.0038) (multiplicity 8)  5 Y 3.27-3.58, 1 Er 3.32, 3 La 3.47-3.61
Y (0.1326, 0.4105, 0.8085) (multiplicity 8)  3 Y 3.34-3.49, 3 Er 3.39-3.72, 2 La 3.54-3.60
Y (0.2424, 0.1993, 0.7301) (multiplicity 8)  6 Y 3.40-3.58, 2 La 3.46-3.73, 1 Er 3.52
Er (0.0000, 0.3850, 0.2500) (multiplicity 4)  8 Y 3.32-3.72

***

Entry 5:
Material: Ho2TlBi
Method: DFT, PBE-GGA
State: relaxed

Output
DFT formation energy   -0.3862 eV per atom
Energy relative to the lowest polymorph listed for this composition   79 meV/atom

a = 7.6733 Å, b = 7.6733 Å, c = 7.6733 Å
α = 90.00°, β = 90.00°, γ = 90.00°
Last column: nearest neighbours and their distance in Å.
Space group Fm-3m (No. 225)
Unique sites:
Ho (0.2500, 0.2500, 0.2500) (multiplicity 8)  4 Tl 3.32, 4 Bi 3.32
Tl (0.0000, 0.0000, 0.0000) (multiplicity 4)  8 Ho 3.32
Bi (0.0000, 0.0000, 0.5000) (multiplicity 4)  8 Ho 3.32

***

Entry 6:
Material: Y2ErPu
Method: DFT, PBE-GGA
State: relaxed

Output
DFT formation energy   0.1516 eV per atom
Energy relative to the lowest polymorph listed for this composition   55 meV/atom

a = 4.9662 Å, b = 4.9662 Å, c = 4.9902 Å
α = 90.00°, β = 90.00°, γ = 90.00°
Last column: nearest neighbours and their distance in Å.
Space group P4/mmm (No. 123)
Unique sites:
Y (0.0000, 0.5000, 0.0000) (multiplicity 2)  4 Y 3.51, 4 Pu 3.52, 4 Er 3.52
Er (0.0000, 0.0000, 0.5000) (multiplicity 1)  4 Pu 3.51, 8 Y 3.52
Pu (0.5000, 0.5000, 0.5000) (multiplicity 1)  4 Er 3.51, 8 Y 3.52

***

Entry 7:
Material: CsLiAl2Sb
Method: DFT, PBE-GGA
State: relaxed

Output
Uncorrected formation energy   0.54 eV per atom

a = 5.1652 Å, b = 5.1652 Å, c = 5.4950 Å
α = 90.00°, β = 90.00°, γ = 90.00°
Last column: nearest neighbours and their distance in Å.
Space group P4/mmm (No. 123)
Unique sites:
Cs (0.0000, 0.0000, 0.0000) (multiplicity 1)  2 Li 2.75
Li (0.0000, 0.0000, 0.5000) (multiplicity 1)  4 Al 2.58, 2 Cs 2.75
Al (0.0000, 0.5000, 0.5000) (multiplicity 2)  2 Li 2.58
Sb (0.5000, 0.5000, 0.0000) (multiplicity 1)  4 Cs 3.65, 8 Al 3.77

***

Entry 8:
Material: Zn3InS
Method: DFT, PBE-GGA
State: relaxed

Output
Energy relative to the lowest polymorph listed for this composition   300 meV/atom
Uncorrected formation energy   0.61 eV per atom

a = 5.0797 Å, b = 5.0797 Å, c = 5.0797 Å
α = 90.00°, β = 90.00°, γ = 90.00°
Last column: nearest neighbours and their distance in Å.
Space group Pm-3m (No. 221)
Unique sites:
Zn (0.0000, 0.0000, 0.5000) (multiplicity 3)  2 In 2.54
In (0.0000, 0.0000, 0.0000) (multiplicity 1)  6 Zn 2.54
S (0.5000, 0.5000, 0.5000) (multiplicity 1)  12 Zn 3.59

***

Entry 9:
Material: Sm2Ga5AgRu2
Method: DFT, PBE-GGA
State: relaxed

Output
DFT formation energy   -0.3446 eV per atom

a = 9.6773 Å, b = 9.6773 Å, c = 4.0758 Å
α = 90.00°, β = 90.00°, γ = 90.00°
Last column: nearest neighbours and their distance in Å.
Space group P4/mbm (No. 127)
Unique sites:
Sm (0.1836, 0.3164, 0.0000) (multiplicity 4)  3 Ru 2.79-2.95
Ga (0.0000, 0.5000, 0.5000) (multiplicity 2)  4 Ru 2.56
Ga (0.0600, 0.7905, 0.5000) (multiplicity 8)  2 Ru 2.72, 3 Ga 2.87-2.98, 2 Ag 2.93
Ag (0.0000, 0.0000, 0.0000) (multiplicity 2)  8 Ga 2.93
Ru (0.1128, 0.6128, 0.0000) (multiplicity 4)  6 Ga 2.56-2.72, 1 Sm 2.79

***

Number 1: magnetic moment 0.0000 μB/atom. Number 2: magnetic moment 0.0000 μB/atom. Number 3: magnetic moment 0.0000 μB/atom. Number 4: magnetic moment 0.0001 μB/atom. Number 5: magnetic moment 0.0000 μB/atom. Number 6: magnetic moment 1.5834 μB/atom. Number 7: magnetic moment 0.0000 μB/atom. Number 8: magnetic moment 0.1661 μB/atom. Number 9: magnetic moment 0.0000 μB/atom.